#1
A plane-wave DFT calculation with PBE-GGA was carried out for a relaxed structure of Cs2K4S.

For the density, the calculation gives 1.420 g cm⁻³.

Unit cell a=8.855 b=24.770 c=4.845 alpha=90.00 beta=90.00 gamma=90.00
Space group Cmmm (No. 65)
Asymmetric unit:
Cs: 0.000 0.190 0.000 (multiplicity 4)
K: 0.000 0.377 0.500 (multiplicity 4)
K: 0.220 0.500 0.000 (multiplicity 4)
S: 0.000 0.500 0.500 (multiplicity 2)

#2
A plane-wave DFT calculation with PBE-GGA was carried out for a relaxed structure of Cs2K4S.

For the density, the calculation gives 1.415 g cm⁻³.

Unit cell a=6.215 b=6.215 c=27.599 alpha=90.00 beta=90.00 gamma=90.00
Space group I4/mmm (No. 139)
Asymmetric unit:
Cs: 0.000 0.000 0.194 (multiplicity 4)
K: 0.000 0.000 0.390 (multiplicity 4)
K: 0.000 0.500 0.000 (multiplicity 4)
S: 0.000 0.000 0.500 (multiplicity 2)

Quick look at relative energies in meV per atom: #1 9; #2 0.

#1
A plane-wave DFT calculation with PBE-GGA was carried out for a relaxed structure of CsKS2.

For the density, the calculation gives 2.947 g cm⁻³.

Unit cell a=8.104 b=8.104 c=8.104 alpha=90.00 beta=90.00 gamma=90.00
Space group Fm-3m (No. 225)
Asymmetric unit:
Cs: 0.000 0.000 0.000 (multiplicity 4)
K: 0.000 0.000 0.500 (multiplicity 4)
S: 0.250 0.250 0.250 (multiplicity 8)

#2
A plane-wave DFT calculation with PBE-GGA was carried out for a relaxed structure of CsKS2.

For the density, the calculation gives 2.806 g cm⁻³.

Unit cell a=4.939 b=4.939 c=22.909 alpha=90.00 beta=90.00 gamma=90.00
Space group P4_1 (No. 76)
Asymmetric unit:
Cs: 0.158 0.720 0.000 (multiplicity 4)
K: 0.161 0.323 0.870 (multiplicity 4)
S: 0.059 0.660 0.145 (multiplicity 4)
S: 0.188 0.340 0.721 (multiplicity 4)

Quick look at relative energies in meV per atom: #1 460; #2 0.

#1
A plane-wave DFT calculation with PBE-GGA was carried out for a relaxed structure of CsK2S2.

For the density, the calculation gives 2.403 g cm⁻³.

Unit cell a=5.872 b=5.872 c=11.035 alpha=90.00 beta=90.00 gamma=90.00
Space group I4/mmm (No. 139)
Asymmetric unit:
Cs: 0.000 0.000 0.000 (multiplicity 2)
K: 0.000 0.000 0.335 (multiplicity 4)
S: 0.000 0.500 0.250 (multiplicity 4)

#2
A plane-wave DFT calculation with PBE-GGA was carried out for a relaxed structure of CsK2S2.

For the density, the calculation gives 2.985 g cm⁻³.

Unit cell a=9.226 b=9.226 c=3.598 alpha=90.00 beta=90.00 gamma=90.00
Space group P4/mbm (No. 127)
Asymmetric unit:
Cs: 0.000 0.000 0.000 (multiplicity 2)
K: 0.123 0.377 0.000 (multiplicity 4)
S: 0.174 0.674 0.500 (multiplicity 4)

Quick look at relative energies in meV per atom: #1 107; #2 0.

#1
A plane-wave DFT calculation with PBE-GGA was carried out for a relaxed structure of CsKSb.

For the density, the calculation gives 2.839 g cm⁻³.

Unit cell a=8.825 b=8.825 c=8.825 alpha=90.00 beta=90.00 gamma=90.00
Space group F-43m (No. 216)
Asymmetric unit:
Cs: 0.000 0.000 0.000 (multiplicity 4)
K: 0.000 0.000 0.500 (multiplicity 4)
Sb: 0.250 0.250 0.250 (multiplicity 4)

#2
A plane-wave DFT calculation with PBE-GGA was carried out for a relaxed structure of CsKSb.

For the density, the calculation gives 4.097 g cm⁻³.

Unit cell a=6.1140 b=6.1140 c=3.6774 alpha=90.00 beta=90.00 gamma=120.00
Space group P3m1 (No. 156)
Asymmetric unit:
Cs: 0.0000 0.0000 0.0000 (multiplicity 1)
K: 0.3333 0.6667 0.0358 (multiplicity 1)
Sb: 0.6667 0.3333 0.5100 (multiplicity 1)

Quick look at relative energies in meV per atom: #1 60; #2 0.